! Mn2CrAs2, relaxed, DFT PBE; values from VASP
! * E above lowest polymorph: 0 meV/atom
! * crystal system: tetragonal
! * DOS(E_F): 5.8 states/eV/cell
&SYSTEM
  ibrav = 0, nat = 10, ntyp = 3
/
ATOMIC_SPECIES
Mn 54.94 Mn.upf
Cr 52.00 Cr.upf
As 74.92 As.upf
CELL_PARAMETERS angstrom
6.650 0.000 0.000
0.000 6.650 0.000
0.000 0.000 3.301
ATOMIC_POSITIONS crystal
Mn 0.143 0.357 0.000
Mn 0.357 0.857 0.000
Mn 0.643 0.143 0.000
Mn 0.857 0.643 0.000
Cr 0.000 0.000 0.500
Cr 0.500 0.500 0.500
As 0.155 0.655 0.500
As 0.345 0.155 0.500
As 0.655 0.845 0.500
As 0.845 0.345 0.500

! ZrBeHg2, relaxed, DFT PBE; values from VASP
! * crystal system: monoclinic
! * DOS(E_F): 2.6 states/eV/cell
&SYSTEM
  ibrav = 0, nat = 4, ntyp = 3
/
ATOMIC_SPECIES
Zr 91.22 Zr.upf
Be 9.01 Be.upf
Hg 200.59 Hg.upf
CELL_PARAMETERS angstrom
4.817 -1.583 0.000
4.817 1.583 0.000
-1.744 0.000 5.068
ATOMIC_POSITIONS crystal
Zr 0.000 0.000 0.000
Be 0.500 0.500 0.500
Hg 0.218 0.218 0.716
Hg 0.782 0.782 0.284

! Ta2Re2Ru, relaxed, DFT PBE; values from VASP
! * E above lowest polymorph: 578 meV/atom
! * crystal system: tetragonal
! * DOS(E_F): 3.6 states/eV/cell
&SYSTEM
  ibrav = 0, nat = 5, ntyp = 3
/
ATOMIC_SPECIES
Ta 180.95 Ta.upf
Re 186.21 Re.upf
Ru 101.07 Ru.upf
CELL_PARAMETERS angstrom
-2.077 2.077 5.495
2.077 -2.077 5.495
2.077 2.077 -5.495
ATOMIC_POSITIONS crystal
Ta 0.250 0.750 0.500
Ta 0.750 0.250 0.500
Re 0.109 0.109 0.000
Re 0.891 0.891 0.000
Ru 0.500 0.500 0.000

! PmDyMgZr, relaxed, DFT PBE; values from VASP
! * crystal system: cubic
! * DOS(E_F): 5.1 states/eV/cell
&SYSTEM
  ibrav = 0, nat = 4, ntyp = 4
/
ATOMIC_SPECIES
Pm 145.00 Pm.upf
Dy 162.50 Dy.upf
Mg 24.30 Mg.upf
Zr 91.22 Zr.upf
CELL_PARAMETERS angstrom
0.000 3.811 3.811
3.811 0.000 3.811
3.811 3.811 0.000
ATOMIC_POSITIONS crystal
Pm 0.000 0.000 0.000
Dy 0.500 0.500 0.500
Mg 0.750 0.750 0.750
Zr 0.250 0.250 0.250

no.,energy of formation (eV per atom),spin magnetization (μB/f.u.),uncorrected energy (eV per atom)
1,0.0211,8.20,-7.431
2,0.2091,0.00,-3.010
3,0.9034,0.00,-10.672
4,0.1304,1.84,-4.743